Record 1
## YTmIn (PBE-GGA)

Data for a relaxed structure of YTmIn.

Structure (CIF):
```
data_YTmIn
_chemical_formula_sum 'Y4 Tm4 In4'
_cell_length_a 7.277
_cell_length_b 7.277
_cell_length_c 7.277
_cell_angle_alpha 90.00
_cell_angle_beta 90.00
_cell_angle_gamma 90.00
_space_group_name_H-M_alt 'F -4 3 m'
_space_group_IT_number 216
_space_group_name_Hall 'F -4 2 3'
loop_
_atom_site_label
_atom_site_fract_x
_atom_site_fract_y
_atom_site_fract_z
Y1 0.000 0.000 0.000
Tm1 0.000 0.000 0.500
In1 0.250 0.250 0.750
```

* M_tot: 0.0 μB/cell
* relative energy among the computed polymorphs: 0.00 kJ per mole of atoms


Record 2
## LuCoSbPt (PBE-GGA)

Data for a relaxed structure of LuCoSbPt.

Structure (CIF):
```
data_LuCoSbPt
_chemical_formula_sum 'Lu4 Co4 Sb4 Pt4'
_cell_length_a 6.565
_cell_length_b 6.565
_cell_length_c 6.565
_cell_angle_alpha 90.00
_cell_angle_beta 90.00
_cell_angle_gamma 90.00
_space_group_name_H-M_alt 'F -4 3 m'
_space_group_IT_number 216
_space_group_name_Hall 'F -4 2 3'
loop_
_atom_site_label
_atom_site_fract_x
_atom_site_fract_y
_atom_site_fract_z
Lu1 0.000 0.000 0.000
Co1 0.250 0.250 0.750
Sb1 0.000 0.000 0.500
Pt1 0.250 0.250 0.250
```

* M_tot: 4.6 μB/cell
* relative energy among the computed polymorphs: 0.00 kJ per mole of atoms


Record 3
## Y2Co2BrCl (PBE-GGA)

Data for a relaxed structure of Y2Co2BrCl.

Structure (CIF):
```
data_Y2Co2BrCl
_chemical_formula_sum 'Y2 Co2 Br1 Cl1'
_cell_length_a 3.8744
_cell_length_b 3.8744
_cell_length_c 11.2937
_cell_angle_alpha 90.00
_cell_angle_beta 90.00
_cell_angle_gamma 120.00
_space_group_name_H-M_alt 'P 3 m 1'
_space_group_IT_number 156
_space_group_name_Hall 'P 3 -2"'
loop_
_atom_site_label
_atom_site_fract_x
_atom_site_fract_y
_atom_site_fract_z
Y1 0.0000 0.0000 0.0000
Y2 0.0000 0.0000 0.3349
Co1 0.3333 0.6667 0.1609
Co2 0.6667 0.3333 0.1747
Br1 0.3333 0.6667 0.5054
Cl1 0.6667 0.3333 0.8466
```

* M_tot: 0.6 μB/cell
* total DFT energy (no corrections): -37.26 eV/cell


Record 4
## TmZrAl2Pt4 (PBE-GGA)

Data for a relaxed structure of TmZrAl2Pt4.

Structure (CIF):
```
data_TmZrAl2Pt4
_chemical_formula_sum 'Tm1 Zr1 Al2 Pt4'
_cell_length_a 4.3116
_cell_length_b 4.3116
_cell_length_c 8.9334
_cell_angle_alpha 90.00
_cell_angle_beta 90.00
_cell_angle_gamma 120.00
_space_group_name_H-M_alt 'P -6 m 2'
_space_group_IT_number 187
_space_group_name_Hall 'P -6 2'
loop_
_atom_site_label
_atom_site_fract_x
_atom_site_fract_y
_atom_site_fract_z
Tm1 0.0000 0.0000 0.0000
Zr1 0.3333 0.6667 0.5000
Al1 0.6667 0.3333 0.2555
Pt1 0.0000 0.0000 0.3421
Pt2 0.3333 0.6667 0.1696
```

* M_tot: 0.0 μB/cell
* total DFT energy (no corrections): -54.05 eV/cell